(1)
TiMoAsBr2: relaxed, PBE.

Calculated values
Crystal system   tetragonal
Raw formation energy   0.590 eV/atom
Energy above the most stable polymorph in this dataset   0.122 eV per atom
ρ   4.72 g/cm3
Total magnetic moment   4.409 μB/cell

Cell and atoms, written as CIF:
```
data_TiMoAsBr2
_chemical_formula_sum 'Ti1 Mo1 As1 Br2'
_symmetry_space_group_name_H-M 'P 4/m m m'
_symmetry_Int_Tables_number 123
_symmetry_space_group_name_Hall '-P 4 2'
_cell_length_a 5.206
_cell_length_b 5.206
_cell_length_c 4.911
_cell_angle_alpha 90.00
_cell_angle_beta 90.00
_cell_angle_gamma 90.00
loop_
_atom_site_label
_atom_site_type_symbol
_atom_site_fract_x
_atom_site_fract_y
_atom_site_fract_z
_atom_site_occupancy
Ti1 Ti 0.000 0.000 0.000 1
Mo1 Mo 0.500 0.500 0.500 1
As1 As 0.500 0.500 0.000 1
Br1 Br 0.000 0.500 0.500 1
```



(2)
Pm2YSb: relaxed, PBE.

Calculated values
Crystal system   trigonal
Raw formation energy   -0.352 eV/atom
Energy above the most stable polymorph in this dataset   0.170 eV per atom
ρ   5.95 g/cm3
Total magnetic moment   3.073 μB/cell

Cell and atoms, written as CIF:
```
data_Pm2YSb
_chemical_formula_sum 'Pm6 Y3 Sb3'
_symmetry_space_group_name_H-M 'R 3 m'
_symmetry_Int_Tables_number 160
_symmetry_space_group_name_Hall 'R 3 -2"'
_cell_length_a 4.0920
_cell_length_b 4.0920
_cell_length_c 28.9300
_cell_angle_alpha 90.00
_cell_angle_beta 90.00
_cell_angle_gamma 120.00
loop_
_atom_site_label
_atom_site_type_symbol
_atom_site_fract_x
_atom_site_fract_y
_atom_site_fract_z
_atom_site_occupancy
Pm1 Pm 0.0000 0.0000 0.0000 1
Pm2 Pm 0.0000 0.0000 0.1971 1
Y1 Y 0.0000 0.0000 0.4318 1
Sb1 Sb 0.0000 0.0000 0.5983 1
```



(3)
TbGdHg: relaxed, PBE.

Calculated values
Crystal system   cubic
Energy relative to the elements   -0.13 eV/atom
Energy above the most stable polymorph in this dataset   0.196 eV per atom
ρ   8.99 g/cm3
Total magnetic moment   31.976 μB/cell

Cell and atoms, written as CIF:
```
data_TbGdHg
_chemical_formula_sum 'Tb4 Gd4 Hg4'
_symmetry_space_group_name_H-M 'F -4 3 m'
_symmetry_Int_Tables_number 216
_symmetry_space_group_name_Hall 'F -4 2 3'
_cell_length_a 7.254
_cell_length_b 7.254
_cell_length_c 7.254
_cell_angle_alpha 90.00
_cell_angle_beta 90.00
_cell_angle_gamma 90.00
loop_
_atom_site_label
_atom_site_type_symbol
_atom_site_fract_x
_atom_site_fract_y
_atom_site_fract_z
_atom_site_occupancy
Tb1 Tb 0.000 0.000 0.000 1
Gd1 Gd 0.000 0.000 0.500 1
Hg1 Hg 0.250 0.250 0.250 1
```



(4)
Sr3AgPt: relaxed, PBE.

Calculated values
Crystal system   cubic
Energy relative to the elements   -0.37 eV/atom
Energy above the most stable polymorph in this dataset   0.141 eV per atom
ρ   4.72 g/cm3
Total magnetic moment   0.000 μB/cell

Cell and atoms, written as CIF:
```
data_Sr3AgPt
_chemical_formula_sum 'Sr3 Ag1 Pt1'
_symmetry_space_group_name_H-M 'P m -3 m'
_symmetry_Int_Tables_number 221
_symmetry_space_group_name_Hall '-P 4 2 3'
_cell_length_a 5.838
_cell_length_b 5.838
_cell_length_c 5.838
_cell_angle_alpha 90.00
_cell_angle_beta 90.00
_cell_angle_gamma 90.00
loop_
_atom_site_label
_atom_site_type_symbol
_atom_site_fract_x
_atom_site_fract_y
_atom_site_fract_z
_atom_site_occupancy
Sr1 Sr 0.000 0.000 0.500 1
Ag1 Ag 0.500 0.500 0.500 1
Pt1 Pt 0.000 0.000 0.000 1
```



(5)
Sm6InCo2: relaxed, PBE.

Calculated values
Crystal system   orthorhombic
Energy relative to the elements   -0.21 eV/atom
ρ   7.83 g/cm3
Total magnetic moment   0.000 μB/cell

Cell and atoms, written as CIF:
```
data_Sm6InCo2
_chemical_formula_sum 'Sm24 In4 Co8'
_symmetry_space_group_name_H-M 'I m m m'
_symmetry_Int_Tables_number 71
_symmetry_space_group_name_Hall '-I 2 2'
_cell_length_a 9.527
_cell_length_b 9.933
_cell_length_c 10.171
_cell_angle_alpha 90.00
_cell_angle_beta 90.00
_cell_angle_gamma 90.00
loop_
_atom_site_label
_atom_site_type_symbol
_atom_site_fract_x
_atom_site_fract_y
_atom_site_fract_z
_atom_site_occupancy
Sm1 Sm 0.000 0.205 0.235 1
Sm2 Sm 0.186 0.500 0.177 1
Sm3 Sm 0.214 0.316 0.500 1
In1 In 0.000 0.000 0.000 1
In2 In 0.000 0.000 0.500 1
Co1 Co 0.000 0.338 0.000 1
Co2 Co 0.000 0.500 0.388 1
```



(6)
Zr3Ni: relaxed, PBE.

Calculated values
Crystal system   trigonal
Energy relative to the elements   0.07 eV/atom
ρ   6.99 g/cm3
Total magnetic moment   0.000 μB/cell

Cell and atoms, written as CIF:
```
data_Zr3Ni
_chemical_formula_sum 'Zr9 Ni3'
_symmetry_space_group_name_H-M 'R -3 m'
_symmetry_Int_Tables_number 166
_symmetry_space_group_name_Hall '-R 3 2"'
_cell_length_a 9.3070
_cell_length_b 9.3070
_cell_length_c 3.1564
_cell_angle_alpha 90.00
_cell_angle_beta 90.00
_cell_angle_gamma 120.00
loop_
_atom_site_label
_atom_site_type_symbol
_atom_site_fract_x
_atom_site_fract_y
_atom_site_fract_z
_atom_site_occupancy
Zr1 Zr 0.0000 0.5000 0.0000 1
Ni1 Ni 0.0000 0.0000 0.0000 1
```



(7)
DyZnNi: relaxed, PBE.

Calculated values
Crystal system   tetragonal
Energy relative to the elements   -0.30 eV/atom
ρ   8.90 g/cm3
Total magnetic moment   0.000 μB/cell

Cell and atoms, written as CIF:
```
data_DyZnNi
_chemical_formula_sum 'Dy2 Zn2 Ni2'
_symmetry_space_group_name_H-M 'I 4 m m'
_symmetry_Int_Tables_number 107
_symmetry_space_group_name_Hall 'I 4 -2'
_cell_length_a 3.363
_cell_length_b 3.363
_cell_length_c 9.457
_cell_angle_alpha 90.00
_cell_angle_beta 90.00
_cell_angle_gamma 90.00
loop_
_atom_site_label
_atom_site_type_symbol
_atom_site_fract_x
_atom_site_fract_y
_atom_site_fract_z
_atom_site_occupancy
Dy1 Dy 0.000 0.000 0.000 1
Zn1 Zn 0.000 0.000 0.701 1
Ni1 Ni 0.000 0.000 0.321 1
```



(8)
VTe: relaxed, PBE.

Calculated values
Crystal system   cubic
Raw formation energy   0.016 eV/atom
ρ   6.39 g/cm3
Total magnetic moment   11.852 μB/cell

Cell and atoms, written as CIF:
```
data_VTe
_chemical_formula_sum 'V4 Te4'
_symmetry_space_group_name_H-M 'F m -3 m'
_symmetry_Int_Tables_number 225
_symmetry_space_group_name_Hall '-F 4 2 3'
_cell_length_a 5.705
_cell_length_b 5.705
_cell_length_c 5.705
_cell_angle_alpha 90.00
_cell_angle_beta 90.00
_cell_angle_gamma 90.00
loop_
_atom_site_label
_atom_site_type_symbol
_atom_site_fract_x
_atom_site_fract_y
_atom_site_fract_z
_atom_site_occupancy
V1 V 0.000 0.000 0.000 1
Te1 Te 0.000 0.000 0.500 1
```



(9)
Sc2TiCoSe: relaxed, PBE.

Calculated values
Crystal system   tetragonal
Raw formation energy   -0.255 eV/atom
ρ   4.40 g/cm3
Total magnetic moment   0.000 μB/cell

Cell and atoms, written as CIF:
```
data_Sc2TiCoSe
_chemical_formula_sum 'Sc2 Ti1 Co1 Se1'
_symmetry_space_group_name_H-M 'P 4/m m m'
_symmetry_Int_Tables_number 123
_symmetry_space_group_name_Hall '-P 4 2'
_cell_length_a 4.924
_cell_length_b 4.924
_cell_length_c 4.293
_cell_angle_alpha 90.00
_cell_angle_beta 90.00
_cell_angle_gamma 90.00
loop_
_atom_site_label
_atom_site_type_symbol
_atom_site_fract_x
_atom_site_fract_y
_atom_site_fract_z
_atom_site_occupancy
Sc1 Sc 0.000 0.500 0.000 1
Ti1 Ti 0.000 0.000 0.500 1
Co1 Co 0.000 0.000 0.000 1
Se1 Se 0.500 0.500 0.500 1
```



(10)
Li2MgRh: relaxed, PBE.

Calculated values
Crystal system   monoclinic
Energy relative to the elements   -0.17 eV/atom
ρ   3.75 g/cm3
Total magnetic moment   0.000 μB/cell

Cell and atoms, written as CIF:
```
data_Li2MgRh
_chemical_formula_sum 'Li2 Mg1 Rh1'
_symmetry_space_group_name_H-M 'P 1 2/m 1'
_symmetry_Int_Tables_number 10
_symmetry_space_group_name_Hall '-P 2y'
_cell_length_a 2.914
_cell_length_b 4.612
_cell_length_c 4.653
_cell_angle_alpha 90.00
_cell_angle_beta 93.96
_cell_angle_gamma 90.00
loop_
_atom_site_label
_atom_site_type_symbol
_atom_site_fract_x
_atom_site_fract_y
_atom_site_fract_z
_atom_site_occupancy
Li1 Li 0.236 0.000 0.282 1
Mg1 Mg 0.500 0.500 0.000 1
Rh1 Rh 0.000 0.500 0.500 1
```



(11)
BaPuIn2: relaxed, PBE.

Calculated values
Crystal system   trigonal
Energy relative to the elements   0.01 eV/atom
ρ   7.64 g/cm3
Total magnetic moment   18.266 μB/cell

Cell and atoms, written as CIF:
```
data_BaPuIn2
_chemical_formula_sum 'Ba3 Pu3 In6'
_symmetry_space_group_name_H-M 'R -3 m'
_symmetry_Int_Tables_number 166
_symmetry_space_group_name_Hall '-R 3 2"'
_cell_length_a 3.7471
_cell_length_b 3.7471
_cell_length_c 32.7647
_cell_angle_alpha 90.00
_cell_angle_beta 90.00
_cell_angle_gamma 120.00
loop_
_atom_site_label
_atom_site_type_symbol
_atom_site_fract_x
_atom_site_fract_y
_atom_site_fract_z
_atom_site_occupancy
Ba1 Ba 0.0000 0.0000 0.0000 1
Pu1 Pu 0.0000 0.0000 0.5000 1
In1 In 0.0000 0.0000 0.2442 1
```



(12)
Tb2PrCu: relaxed, PBE.

Calculated values
Crystal system   trigonal
Energy relative to the elements   0.03 eV/atom
Energy above the most stable polymorph in this dataset   0.131 eV per atom
ρ   7.41 g/cm3
Total magnetic moment   0.001 μB/cell

Cell and atoms, written as CIF:
```
data_Tb2PrCu
_chemical_formula_sum 'Tb6 Pr3 Cu3'
_symmetry_space_group_name_H-M 'R 3 m'
_symmetry_Int_Tables_number 160
_symmetry_space_group_name_Hall 'R 3 -2"'
_cell_length_a 3.7120
_cell_length_b 3.7120
_cell_length_c 29.4382
_cell_angle_alpha 90.00
_cell_angle_beta 90.00
_cell_angle_gamma 120.00
loop_
_atom_site_label
_atom_site_type_symbol
_atom_site_fract_x
_atom_site_fract_y
_atom_site_fract_z
_atom_site_occupancy
Tb1 Tb 0.0000 0.0000 0.0000 1
Tb2 Tb 0.0000 0.0000 0.2034 1
Pr1 Pr 0.0000 0.0000 0.4360 1
Cu1 Cu 0.0000 0.0000 0.6011 1
```



(13)
Zr2InCu2: relaxed, PBE.

Calculated values
Crystal system   tetragonal
Energy relative to the elements   0.01 eV/atom
ρ   7.30 g/cm3
Total magnetic moment   0.000 μB/cell

Cell and atoms, written as CIF:
```
data_Zr2InCu2
_chemical_formula_sum 'Zr4 In2 Cu4'
_symmetry_space_group_name_H-M 'I 4/m m m'
_symmetry_Int_Tables_number 139
_symmetry_space_group_name_Hall '-I 4 2'
_cell_length_a 3.305
_cell_length_b 3.305
_cell_length_c 17.660
_cell_angle_alpha 90.00
_cell_angle_beta 90.00
_cell_angle_gamma 90.00
loop_
_atom_site_label
_atom_site_type_symbol
_atom_site_fract_x
_atom_site_fract_y
_atom_site_fract_z
_atom_site_occupancy
Zr1 Zr 0.000 0.000 0.118 1
In1 In 0.000 0.000 0.500 1
Cu1 Cu 0.000 0.500 0.250 1
```



(14)
Rb2BeBBr6: relaxed, PBE.

Calculated values
Crystal system   tetragonal
Raw formation energy   -0.655 eV/atom
ρ   3.42 g/cm3
Total magnetic moment   2.000 μB/cell

Cell and atoms, written as CIF:
```
data_Rb2BeBBr6
_chemical_formula_sum 'Rb4 Be2 B2 Br12'
_symmetry_space_group_name_H-M 'I 4/m m m'
_symmetry_Int_Tables_number 139
_symmetry_space_group_name_Hall '-I 4 2'
_cell_length_a 8.014
_cell_length_b 8.014
_cell_length_c 10.121
_cell_angle_alpha 90.00
_cell_angle_beta 90.00
_cell_angle_gamma 90.00
loop_
_atom_site_label
_atom_site_type_symbol
_atom_site_fract_x
_atom_site_fract_y
_atom_site_fract_z
_atom_site_occupancy
Rb1 Rb 0.000 0.500 0.250 1
Be1 Be 0.000 0.000 0.000 1
B1 B 0.000 0.000 0.500 1
Br1 Br 0.000 0.000 0.317 1
Br2 Br 0.206 0.206 0.000 1
```



(15)
CaEr3P: relaxed, PBE.

Calculated values
Crystal system   cubic
Energy relative to the elements   -0.43 eV/atom
ρ   6.09 g/cm3
Total magnetic moment   0.004 μB/cell

Cell and atoms, written as CIF:
```
data_CaEr3P
_chemical_formula_sum 'Ca1 Er3 P1'
_symmetry_space_group_name_H-M 'P m -3 m'
_symmetry_Int_Tables_number 221
_symmetry_space_group_name_Hall '-P 4 2 3'
_cell_length_a 5.385
_cell_length_b 5.385
_cell_length_c 5.385
_cell_angle_alpha 90.00
_cell_angle_beta 90.00
_cell_angle_gamma 90.00
loop_
_atom_site_label
_atom_site_type_symbol
_atom_site_fract_x
_atom_site_fract_y
_atom_site_fract_z
_atom_site_occupancy
Ca1 Ca 0.000 0.000 0.000 1
Er1 Er 0.000 0.500 0.500 1
P1 P 0.500 0.500 0.500 1
```



(16)
KScHg: relaxed, PBE.

Calculated values
Crystal system   trigonal
Energy relative to the elements   0.34 eV/atom
Energy above the most stable polymorph in this dataset   0.335 eV per atom
ρ   5.63 g/cm3
Total magnetic moment   0.000 μB/cell

Cell and atoms, written as CIF:
```
data_KScHg
_chemical_formula_sum 'K1 Sc1 Hg1'
_symmetry_space_group_name_H-M 'P 3 m 1'
_symmetry_Int_Tables_number 156
_symmetry_space_group_name_Hall 'P 3 -2"'
_cell_length_a 5.4958
_cell_length_b 5.4958
_cell_length_c 3.2113
_cell_angle_alpha 90.00
_cell_angle_beta 90.00
_cell_angle_gamma 120.00
loop_
_atom_site_label
_atom_site_type_symbol
_atom_site_fract_x
_atom_site_fract_y
_atom_site_fract_z
_atom_site_occupancy
K1 K 0.0000 0.0000 0.0000 1
Sc1 Sc 0.3333 0.6667 0.2932 1
Hg1 Hg 0.6667 0.3333 0.6114 1
```



(17)
HoInPtRh: relaxed, PBE.

Calculated values
Crystal system   cubic
Energy relative to the elements   -0.83 eV/atom
ρ   12.72 g/cm3
Total magnetic moment   0.000 μB/cell

Cell and atoms, written as CIF:
```
data_HoInPtRh
_chemical_formula_sum 'Ho4 In4 Pt4 Rh4'
_symmetry_space_group_name_H-M 'F -4 3 m'
_symmetry_Int_Tables_number 216
_symmetry_space_group_name_Hall 'F -4 2 3'
_cell_length_a 6.707
_cell_length_b 6.707
_cell_length_c 6.707
_cell_angle_alpha 90.00
_cell_angle_beta 90.00
_cell_angle_gamma 90.00
loop_
_atom_site_label
_atom_site_type_symbol
_atom_site_fract_x
_atom_site_fract_y
_atom_site_fract_z
_atom_site_occupancy
Ho1 Ho 0.000 0.000 0.000 1
In1 In 0.000 0.000 0.500 1
Pt1 Pt 0.250 0.250 0.250 1
Rh1 Rh 0.250 0.250 0.750 1
```



(18)
Cr2IrAu: relaxed, PBE.

Calculated values
Crystal system   tetragonal
Energy relative to the elements   0.24 eV/atom
Energy above the most stable polymorph in this dataset   0.124 eV per atom
ρ   13.38 g/cm3
Total magnetic moment   6.717 μB/cell

Cell and atoms, written as CIF:
```
data_Cr2IrAu
_chemical_formula_sum 'Cr2 Ir1 Au1'
_symmetry_space_group_name_H-M 'P 4/m m m'
_symmetry_Int_Tables_number 123
_symmetry_space_group_name_Hall '-P 4 2'
_cell_length_a 4.567
_cell_length_b 4.567
_cell_length_c 2.935
_cell_angle_alpha 90.00
_cell_angle_beta 90.00
_cell_angle_gamma 90.00
loop_
_atom_site_label
_atom_site_type_symbol
_atom_site_fract_x
_atom_site_fract_y
_atom_site_fract_z
_atom_site_occupancy
Cr1 Cr 0.000 0.500 0.000 1
Ir1 Ir 0.000 0.000 0.500 1
Au1 Au 0.500 0.500 0.500 1
```



(19)
DyLuGaAu: relaxed, PBE.

Calculated values
Crystal system   cubic
Energy relative to the elements   -0.71 eV/atom
ρ   11.05 g/cm3
Total magnetic moment   0.000 μB/cell

Cell and atoms, written as CIF:
```
data_DyLuGaAu
_chemical_formula_sum 'Dy4 Lu4 Ga4 Au4'
_symmetry_space_group_name_H-M 'F -4 3 m'
_symmetry_Int_Tables_number 216
_symmetry_space_group_name_Hall 'F -4 2 3'
_cell_length_a 7.134
_cell_length_b 7.134
_cell_length_c 7.134
_cell_angle_alpha 90.00
_cell_angle_beta 90.00
_cell_angle_gamma 90.00
loop_
_atom_site_label
_atom_site_type_symbol
_atom_site_fract_x
_atom_site_fract_y
_atom_site_fract_z
_atom_site_occupancy
Dy1 Dy 0.000 0.000 0.000 1
Lu1 Lu 0.000 0.000 0.500 1
Ga1 Ga 0.250 0.250 0.750 1
Au1 Au 0.250 0.250 0.250 1
```



(20)
Na3GeAu3: relaxed, PBE.

Calculated values
Crystal system   monoclinic
Energy relative to the elements   -0.26 eV/atom
ρ   7.28 g/cm3
Total magnetic moment   0.000 μB/cell

Cell and atoms, written as CIF:
```
data_Na3GeAu3
_chemical_formula_sum 'Na12 Ge4 Au12'
_symmetry_space_group_name_H-M 'C 1 2/m 1'
_symmetry_Int_Tables_number 12
_symmetry_space_group_name_Hall '-C 2y'
_cell_length_a 10.754
_cell_length_b 4.351
_cell_length_c 15.239
_cell_angle_alpha 90.00
_cell_angle_beta 110.35
_cell_angle_gamma 90.00
loop_
_atom_site_label
_atom_site_type_symbol
_atom_site_fract_x
_atom_site_fract_y
_atom_site_fract_z
_atom_site_occupancy
Na1 Na 0.013 0.000 0.378 1
Na2 Na 0.100 0.000 0.924 1
Na3 Na 0.243 0.500 0.774 1
Ge1 Ge 0.228 0.500 0.400 1
Au1 Au 0.056 0.500 0.239 1
Au2 Au 0.118 0.500 0.077 1
Au3 Au 0.140 0.500 0.543 1
```